[1]
Computed, not measured: crystalline NaH6Pd3 at its relaxed geometry at the GGA-PBE level of DFT.

```
data_NaH6Pd3
_cell_length_a 4.870
_cell_length_b 4.874
_cell_length_c 5.640
_cell_angle_alpha 115.02
_cell_angle_beta 90.26
_cell_angle_gamma 119.92
_symmetry_space_group_name_H-M 'P 1'
_symmetry_Int_Tables_number 1
loop_
_symmetry_equiv_pos_as_xyz
'x,y,z'
loop_
_atom_site_label
_atom_site_fract_x
_atom_site_fract_y
_atom_site_fract_z
Na1 0.000 0.000 0.000
H1 0.160 0.603 0.393
H2 0.402 0.343 0.820
H3 0.441 0.240 0.395
H4 0.477 0.878 0.819
H5 0.796 0.960 0.395
H6 0.941 0.419 0.819
Pd1 0.203 0.408 0.608
Pd2 0.537 0.076 0.611
Pd3 0.804 0.612 0.411
```

Summary:
E above lowest polymorph ... 0.006 eV per atom

[2]
Computed, not measured: crystalline Th4BTe2P at its relaxed geometry at the GGA-PBE level of DFT.

```
data_Th4BTe2P
_cell_length_a 7.224
_cell_length_b 4.148
_cell_length_c 7.758
_cell_angle_alpha 90.00
_cell_angle_beta 107.94
_cell_angle_gamma 90.00
_symmetry_space_group_name_H-M 'P 1 2/m 1'
_symmetry_Int_Tables_number 10
loop_
_symmetry_equiv_pos_as_xyz
'x,y,z'
'-x,-y,-z'
'-x,y,-z'
'x,-y,z'
loop_
_atom_site_label
_atom_site_fract_x
_atom_site_fract_y
_atom_site_fract_z
Th1 0.218 0.000 0.195
Th2 0.252 0.500 0.799
B1 0.000 0.500 0.000
Te1 0.000 0.000 0.500
Te2 0.500 0.500 0.500
P1 0.500 0.000 0.000
```

Summary:
Formation energy (no corrections) ... -1060 meV per atom

Number 1: DFT total energy -3.80 eV/atom. Number 2: DFT total energy -7.07 eV/atom.